A | An optimized crystal structure of AcPrSe2. Source: Alexandria via LeMat-Bulk, functional PBE.

Lattice parameters (Å, degrees): 5.330 5.330 5.330 60.00 60.00 60.00
Atoms (fractional coordinates):
Se  0.750  0.750  0.750
Se  0.250  0.250  0.250
Pr  0.500  0.500  0.500
Ac  0.000  0.000  0.000

D(E_F) = 2.7 states/eV per cell

B | An optimized crystal structure of AcPrSe2. Source: Alexandria via LeMat-Bulk, functional PBE.

Lattice parameters (Å, degrees): 4.258 4.258 7.993 74.55 74.55 60.00
Atoms (fractional coordinates):
Pr  0.495  0.495  0.516
Se  0.086  0.086  0.741
Se  0.247  0.247  0.259
Ac  0.672  0.672  0.985

D(E_F) = 0.9 states/eV per cell

C | An optimized crystal structure of AcPrSe2. Source: Alexandria via LeMat-Bulk, functional PBE.

Lattice parameters (Å, degrees): 6.183 6.183 7.570 114.10 114.10 90.00
Atoms (fractional coordinates):
Pr  0.500  0.500  0.000
Pr  0.250  0.750  0.500
Se  0.254  0.254  0.507
Ac  0.750  0.250  0.500
Se  0.004  0.504  0.007
Ac  0.000  0.000  0.000
Se  0.746  0.746  0.493
Se  0.496  0.996  0.993

D(E_F) = 4.2 states/eV per cell

D | An optimized crystal structure of AcPrSe2. Source: Alexandria via LeMat-Bulk, functional PBE.

Lattice parameters (Å, degrees): 3.774 5.328 5.328 90.00 90.00 90.00
Atoms (fractional coordinates):
Se  0.000  0.500  0.000
Ac  0.500  0.000  0.000
Pr  0.500  0.500  0.500
Se  0.000  0.000  0.500

D(E_F) = 3.2 states/eV per cell

Stability check: which of them is most stable? C.

A | An optimized crystal structure of AcPr2Se. Source: Alexandria via LeMat-Bulk, functional PBE.

Lattice parameters (Å, degrees): 4.049 4.049 10.207 78.56 78.56 60.00
Atoms (fractional coordinates):
Pr  0.271  0.271  0.186
Pr  0.062  0.062  0.814
Ac  0.500  0.500  0.501
Se  0.667  0.667  0.999

D(E_F) = 4.4 states/eV per cell

B | An optimized crystal structure of AcPr2Se. Source: Alexandria via LeMat-Bulk, functional PBE.

Lattice parameters (Å, degrees): 3.978 3.978 11.198 79.77 79.77 60.00
Atoms (fractional coordinates):
Se  0.500  0.500  0.500
Ac  0.000  0.000  0.000
Pr  0.888  0.888  0.335
Pr  0.112  0.112  0.665

D(E_F) = 6.1 states/eV per cell

Stability check: which of them is most stable? A.

A | An optimized crystal structure of AcPr4Se5. Source: Alexandria via LeMat-Bulk, functional PBE.

Lattice parameters (Å, degrees): 4.308 4.308 15.570 97.95 97.95 90.00
Atoms (fractional coordinates):
Pr  0.801  0.801  0.602
Pr  0.603  0.603  0.206
Se  0.899  0.899  0.797
Se  0.298  0.298  0.597
Ac  0.000  0.000  0.000
Se  0.702  0.702  0.403
Se  0.500  0.500  0.000
Se  0.101  0.101  0.203
Pr  0.397  0.397  0.794
Pr  0.199  0.199  0.398

D(E_F) = 4.6 states/eV per cell

B | An optimized crystal structure of AcPr4Se5. Source: Alexandria via LeMat-Bulk, functional PBE.

Lattice parameters (Å, degrees): 4.305 7.469 9.617 75.07 77.07 73.25
Atoms (fractional coordinates):
Se  0.000  0.500  0.500
Pr  0.800  0.606  0.794
Se  0.394  0.313  0.898
Pr  0.598  0.205  0.599
Se  0.201  0.904  0.693
Se  0.799  0.096  0.307
Ac  0.000  0.000  0.000
Pr  0.402  0.795  0.401
Se  0.606  0.687  0.102
Pr  0.200  0.394  0.206

D(E_F) = 4.9 states/eV per cell

Stability check: which of them is most stable? B.

A | An optimized crystal structure of AcPrTeSe. Source: Alexandria via LeMat-Bulk, functional PBE.

Lattice parameters (Å, degrees): 4.486 4.486 7.853 73.40 73.40 60.00
Atoms (fractional coordinates):
Te  0.754  0.754  0.739
Se  0.246  0.246  0.262
Pr  0.510  0.510  0.471
Ac  0.991  0.991  0.028

D(E_F) = 1.4 states/eV per cell

B | An optimized crystal structure of AcPrTeSe. Source: Alexandria via LeMat-Bulk, functional PBE.

Lattice parameters (Å, degrees): 5.499 5.499 5.499 60.00 60.00 60.00
Atoms (fractional coordinates):
Pr  0.000  0.000  0.000
Ac  0.500  0.500  0.500
Se  0.250  0.250  0.250
Te  0.750  0.750  0.750

D(E_F) = 2.9 states/eV per cell

Stability check: which of them is most stable? A.

A | An optimized crystal structure of AcPrSi. Source: Alexandria via LeMat-Bulk, functional PBE.

Lattice parameters (Å, degrees): 4.455 6.701 6.857 90.00 90.00 109.42
Atoms (fractional coordinates):
Pr  0.500  0.000  0.500
Si  0.893  0.785  0.750
Ac  0.208  0.416  0.750
Ac  0.792  0.584  0.250
Si  0.107  0.215  0.250
Pr  0.500  0.000  0.000

D(E_F) = 4.9 states/eV per cell

B | An optimized crystal structure of AcPrSi. Source: Alexandria via LeMat-Bulk, functional PBE.

Lattice parameters (Å, degrees): 5.210 5.210 5.210 60.00 60.00 60.00
Atoms (fractional coordinates):
Si  0.250  0.250  0.250
Pr  0.500  0.500  0.500
Ac  0.000  0.000  0.000

D(E_F) = 4.0 states/eV per cell

Stability check: which of them is most stable? A.

A | An optimized crystal structure of AcPr2Si2. Source: Alexandria via LeMat-Bulk, functional PBE.

Lattice parameters (Å, degrees): 3.895 5.989 6.545 100.97 107.31 90.00
Atoms (fractional coordinates):
Ac  0.000  0.000  0.000
Pr  0.360  0.439  0.720
Si  0.721  0.098  0.442
Pr  0.640  0.561  0.280
Si  0.279  0.902  0.558

D(E_F) = 4.0 states/eV per cell

B | An optimized crystal structure of AcPr2Si2. Source: Alexandria via LeMat-Bulk, functional PBE.

Lattice parameters (Å, degrees): 8.030 8.030 4.352 90.00 90.00 90.00
Atoms (fractional coordinates):
Ac  0.500  0.500  0.000
Pr  0.326  0.826  0.500
Pr  0.174  0.326  0.500
Si  0.107  0.607  0.000
Si  0.893  0.393  0.000
Si  0.607  0.893  0.000
Si  0.393  0.107  0.000
Pr  0.674  0.174  0.500
Pr  0.826  0.674  0.500
Ac  0.000  0.000  0.000

D(E_F) = 10.5 states/eV per cell

Stability check: which of them is most stable? B.

A | An optimized crystal structure of AcPrZnSi. Source: Alexandria via LeMat-Bulk, functional PBE.

Lattice parameters (Å, degrees): 5.341 5.341 5.341 60.00 60.00 60.00
Atoms (fractional coordinates):
Pr  0.500  0.500  0.500
Si  0.750  0.750  0.750
Ac  0.000  0.000  0.000
Zn  0.250  0.250  0.250

D(E_F) = 2.7 states/eV per cell

B | An optimized crystal structure of AcPrZnSi. Source: Alexandria via LeMat-Bulk, functional PBE.

Lattice parameters (Å, degrees): 4.448 4.199 6.300 90.00 110.67 90.00
Atoms (fractional coordinates):
Si  0.430  0.000  0.861
Pr  0.862  0.500  0.724
Ac  0.150  0.000  0.300
Zn  0.558  0.500  0.115

D(E_F) = 3.4 states/eV per cell

Stability check: which of them is most stable? B.

A | An optimized crystal structure of AcPr5Sm3. Source: Alexandria via LeMat-Bulk, functional PBE.

Lattice parameters (Å, degrees): 7.046 9.036 11.982 107.16 90.00 112.95
Atoms (fractional coordinates):
Pr  0.304  0.000  0.750
Sm  0.000  0.000  0.000
Sm  0.151  0.513  0.129
Pr  0.393  0.783  0.451
Pr  0.280  0.354  0.859
Pr  0.696  0.000  0.250
Pr  0.926  0.646  0.641
Ac  0.238  0.000  0.250
Pr  0.390  0.783  0.951
Pr  0.610  0.217  0.049
Ac  0.762  0.000  0.750
Pr  0.720  0.646  0.141
Pr  0.607  0.217  0.549
Pr  0.074  0.354  0.359
Sm  0.638  0.487  0.371
Sm  0.849  0.487  0.871
Sm  0.000  0.000  0.500
Sm  0.362  0.513  0.629

D(E_F) = 25.8 states/eV per cell

B | An optimized crystal structure of AcPr5Sm3. Source: Alexandria via LeMat-Bulk, functional PBE.

Lattice parameters (Å, degrees): 8.698 8.698 14.118 58.61 58.61 85.25
Atoms (fractional coordinates):
Pr  0.744  0.256  0.000
Sm  0.664  0.664  0.322
Pr  0.955  0.449  0.402
Ac  0.002  0.002  0.252
Pr  0.346  0.346  0.418
Sm  0.000  0.000  0.000
Sm  0.335  0.335  0.169
Pr  0.045  0.551  0.598
Pr  0.657  0.657  0.087
Pr  0.256  0.744  0.000
Pr  0.551  0.045  0.598
Sm  0.665  0.665  0.831
Ac  0.998  0.998  0.748
Pr  0.449  0.955  0.402
Sm  0.336  0.336  0.678
Pr  0.343  0.343  0.913
Sm  0.000  0.000  0.500
Pr  0.654  0.654  0.582

D(E_F) = 28.8 states/eV per cell

Stability check: which of them is most stable? A.

A | An optimized crystal structure of AcPr2Sm8. Source: Alexandria via LeMat-Bulk, functional PBE.

Lattice parameters (Å, degrees): 5.647 8.494 9.639 116.14 107.03 90.00
Atoms (fractional coordinates):
Ac  0.500  0.000  0.000
Sm  0.841  0.841  0.683
Sm  0.356  0.153  0.713
Sm  0.644  0.440  0.287
Sm  0.356  0.560  0.713
Sm  0.000  0.296  0.000
Sm  0.644  0.847  0.287
Pr  0.800  0.300  0.600
Sm  0.159  0.159  0.317
Pr  0.200  0.700  0.400
Sm  0.000  0.704  0.000

D(E_F) = 15.4 states/eV per cell

B | An optimized crystal structure of AcPr2Sm8. Source: Alexandria via LeMat-Bulk, functional PBE.

Lattice parameters (Å, degrees): 6.911 10.588 10.588 37.86 58.11 58.11
Atoms (fractional coordinates):
Sm  0.734  0.589  0.589
Ac  0.000  0.000  0.000
Sm  0.238  0.360  0.823
Pr  0.627  0.791  0.791
Sm  0.266  0.411  0.411
Sm  0.238  0.823  0.360
Sm  0.762  0.177  0.640
Sm  0.187  0.759  0.759
Pr  0.373  0.209  0.209
Sm  0.813  0.241  0.241
Sm  0.762  0.640  0.177

D(E_F) = 16.9 states/eV per cell

Stability check: which of them is most stable? A.

A | An optimized crystal structure of Ac8Pr2Sm3. Source: Alexandria via LeMat-Bulk, functional PBE.

Lattice parameters (Å, degrees): 6.824 7.817 10.827 68.84 89.40 90.00
Atoms (fractional coordinates):
Ac  0.798  0.104  0.305
Pr  0.666  0.707  0.586
Pr  0.334  0.293  0.414
Ac  0.201  0.451  0.099
Sm  0.500  0.802  0.000
Ac  0.710  0.162  0.676
Ac  0.290  0.838  0.324
Ac  0.799  0.549  0.901
Ac  0.202  0.410  0.695
Ac  0.202  0.896  0.695
Ac  0.798  0.590  0.305
Sm  0.000  0.000  0.000
Sm  0.500  0.198  0.000

D(E_F) = 17.6 states/eV per cell

B | An optimized crystal structure of Ac8Pr2Sm3. Source: Alexandria via LeMat-Bulk, functional PBE.

Lattice parameters (Å, degrees): 6.182 8.396 11.457 111.50 89.99 90.00
Atoms (fractional coordinates):
Ac  0.500  0.813  0.208
Sm  0.000  0.291  0.000
Sm  0.500  0.000  0.000
Ac  0.000  0.673  0.346
Ac  0.000  0.131  0.262
Pr  0.500  0.759  0.518
Sm  0.000  0.709  0.000
Pr  0.500  0.241  0.482
Ac  0.000  0.869  0.738
Ac  0.000  0.327  0.654
Ac  0.500  0.395  0.208
Ac  0.500  0.187  0.792
Ac  0.500  0.605  0.792

D(E_F) = 19.1 states/eV per cell

Stability check: which of them is most stable? A.

A | An optimized crystal structure of AcPr2Sm6. Source: Alexandria via LeMat-Bulk, functional PBE.

Lattice parameters (Å, degrees): 6.360 12.170 12.170 96.09 60.62 60.62
Atoms (fractional coordinates):
Sm  0.812  0.514  0.666
Sm  0.812  0.166  0.014
Sm  0.188  0.486  0.334
Sm  0.188  0.834  0.986
Sm  0.688  0.986  0.834
Pr  0.499  0.156  0.344
Sm  0.453  0.409  0.910
Sm  0.312  0.666  0.514
Pr  0.001  0.656  0.844
Pr  0.501  0.844  0.656
Sm  0.047  0.090  0.591
Ac  0.750  0.750  0.250
Sm  0.953  0.910  0.409
Pr  0.999  0.344  0.156
Sm  0.688  0.334  0.486
Sm  0.312  0.014  0.166
Ac  0.250  0.250  0.750
Sm  0.547  0.591  0.090

D(E_F) = 28.7 states/eV per cell

B | An optimized crystal structure of AcPr2Sm6. Source: Alexandria via LeMat-Bulk, functional PBE.

Lattice parameters (Å, degrees): 7.209 9.142 16.162 142.70 90.00 90.00
Atoms (fractional coordinates):
Sm  0.771  0.729  0.933
Sm  0.500  0.253  0.657
Sm  0.271  0.229  0.433
Ac  0.000  0.000  0.500
Ac  0.500  0.500  0.000
Sm  0.729  0.229  0.433
Pr  0.500  0.196  0.221
Sm  0.229  0.729  0.933
Sm  0.229  0.271  0.067
Sm  0.500  0.747  0.343
Sm  0.000  0.753  0.157
Pr  0.000  0.696  0.721
Sm  0.271  0.771  0.567
Sm  0.771  0.271  0.067
Pr  0.000  0.304  0.279
Sm  0.729  0.771  0.567
Pr  0.500  0.804  0.779
Sm  0.000  0.247  0.843

D(E_F) = 26.4 states/eV per cell

Stability check: which of them is most stable? A.